Entry 1:
# Sr2Ga7Ir

An optimized crystal structure of Sr2Ga7Ir (GGA-PBE, Alexandria via LeMat-Bulk).

Cell lengths 4.384, 4.384, 10.878 Å; angles 90.00, 90.00, 90.00 degrees
Positions (direct):
Ga (0.500, 0.000, 0.363)
Ga (0.000, 0.000, 0.500)
Ga (0.500, 0.500, 0.500)
Ir (0.500, 0.500, 0.000)
Ga (0.500, 0.000, 0.124)
Sr (0.500, 0.000, 0.756)
Ga (0.000, 0.500, 0.876)
Ga (0.000, 0.500, 0.637)
Ga (0.000, 0.000, 0.000)
Sr (0.000, 0.500, 0.244)

As for the formation energy: -0.417 eV per atom. The total energy comes out at -3.76 eV/atom. As for the space-group type: No. 115. Its total moment is 0.00 Bohr magnetons per cell. As for the density of states at the Fermi level: 4.10 states/eV per cell.

---

Entry 2:
# In2NiAu

An optimized crystal structure of In2NiAu (GGA-PBE, Alexandria via LeMat-Bulk).

Cell lengths 5.254, 5.254, 5.254 Å; angles 134.13, 134.13, 66.88 degrees
Positions (direct):
In (0.250, 0.750, 0.500)
In (0.000, 0.000, 0.000)
Au (0.750, 0.250, 0.500)
Ni (0.500, 0.500, 0.000)

As for the formation energy: 0.012 eV per atom. Its excess energy over the best structure of this formula in the dataset is 140 meV/atom. The total energy comes out at -3.62 eV/atom. As for the space-group type: No. 119. Its total moment is 0.00 Bohr magnetons per cell. As for the density of states at the Fermi level: 1.94 states/eV per cell.

---

Entry 3:
# Ti3PdO

An optimized crystal structure of Ti3PdO (GGA-PBE, Alexandria via LeMat-Bulk).

Cell lengths 5.864, 5.864, 5.864 Å; angles 121.74, 121.74, 87.02 degrees
Positions (direct):
Pd (0.250, 0.750, 0.500)
Ti (0.250, 0.250, 0.000)
O (0.500, 0.500, 0.000)
Ti (0.706, 0.794, 0.500)
Ti (0.750, 0.750, 0.000)
Ti (0.294, 0.206, 0.500)
Pd (0.750, 0.250, 0.500)
Ti (0.206, 0.706, 0.911)
O (0.000, 0.000, 0.000)
Ti (0.794, 0.294, 0.089)

The total energy comes out at -8.08 eV/atom. As for the space-group type: No. 140. The uncorrected formation energy comes out at -1.313 eV per atom. Its total moment is 0.01 Bohr magnetons per cell. As for the density of states at the Fermi level: 10.40 states/eV per cell.

---

Entry 4:
# In4AgSb

An optimized crystal structure of In4AgSb (GGA-PBE, Alexandria via LeMat-Bulk).

Cell lengths 6.141, 6.141, 6.141 Å; angles 60.00, 60.00, 60.00 degrees
Positions (direct):
Sb (0.750, 0.750, 0.750)
In (0.375, 0.875, 0.375)
In (0.375, 0.375, 0.875)
In (0.375, 0.375, 0.375)
In (0.875, 0.375, 0.375)
Ag (0.000, 0.000, 0.000)

The total energy comes out at -2.72 eV/atom. As for the space-group type: No. 216. The uncorrected formation energy comes out at 0.270 eV per atom. Its total moment is 0.00 Bohr magnetons per cell. As for the density of states at the Fermi level: 2.85 states/eV per cell.

---

Entry 5:
# Sc4PtRh

An optimized crystal structure of Sc4PtRh (GGA-PBE, Alexandria via LeMat-Bulk).

Cell lengths 5.417, 5.417, 5.417 Å; angles 60.00, 60.00, 60.00 degrees
Positions (direct):
Pt (0.750, 0.750, 0.750)
Rh (0.000, 0.000, 0.000)
Sc (0.375, 0.375, 0.375)
Sc (0.875, 0.375, 0.375)
Sc (0.375, 0.375, 0.875)
Sc (0.375, 0.875, 0.375)

As for the formation energy: 0.072 eV per atom. Its excess energy over the best structure of this formula in the dataset is 866 meV/atom. The total energy comes out at -6.38 eV/atom. As for the space-group type: No. 216. Its total moment is 0.00 Bohr magnetons per cell. As for the density of states at the Fermi level: 6.82 states/eV per cell.

---

Entry 6:
# Pm2Pr3Tl2

An optimized crystal structure of Pm2Pr3Tl2 (GGA-PBE, Alexandria via LeMat-Bulk).

Cell lengths 5.606, 5.604, 8.918 Å; angles 108.42, 90.00, 120.01 degrees
Positions (direct):
Pr (0.345, 0.691, 0.536)
Pr (0.500, 0.000, 0.000)
Pr (0.655, 0.309, 0.464)
Tl (0.216, 0.432, 0.148)
Pm (0.077, 0.155, 0.731)
Tl (0.784, 0.568, 0.852)
Pm (0.923, 0.845, 0.269)

As for the formation energy: -0.204 eV per atom. The total energy comes out at -4.29 eV/atom. As for the space-group type: No. 12. Its total moment is 0.00 Bohr magnetons per cell. As for the density of states at the Fermi level: 6.03 states/eV per cell.